The following is a PBE calculation of a relaxed Pa2As7Ru12 crystal, from Alexandria.

```
21
Lattice="-1.906 -0.859 -3.326 6.039 -7.675 -1.479 -8.366 -1.211 5.109" Properties=species:S:1:pos:R:3 pbc="T T T"
Pa -0.953 -0.429 -1.663
Pa 1.237 -5.521 0.717
As -3.565 -3.366 2.913
As -6.262 -1.261 3.915
As -3.570 -6.818 3.807
As -0.862 -2.020 1.016
As -1.830 -5.898 0.252
As 1.530 -8.030 -1.124
As 1.152 -3.922 -1.968
Ru -0.627 -7.971 0.098
Ru 2.419 -6.046 -2.145
Ru -0.941 -3.833 -0.791
Ru -6.267 -3.110 2.075
Ru -3.990 -5.768 1.456
Ru -3.297 -2.509 0.217
Ru -4.178 -1.116 2.683
Ru -4.951 -4.845 4.089
Ru -1.565 -4.138 1.965
Ru -1.470 -6.874 2.618
Ru 3.942 -7.628 -0.290
Ru 1.238 -2.060 -0.178
```

Computed properties:
For the size of the total moment, the calculation gives 0.00 μB per cell. The formation energy is -0.43 eV per atom. As for the space-group type: P-6, No. 174. As for the total energy: -171.8 eV per formula unit.

***

The following is a PBE calculation of a relaxed Tl3PdC crystal, from Alexandria.

```
5
Lattice="4.869 0.000 0.000 0.000 4.869 0.000 0.000 0.000 4.869" Properties=species:S:1:pos:R:3 pbc="T T T"
Tl 0.000 2.434 0.000
Tl 0.000 0.000 2.434
Tl 2.434 0.000 0.000
C 0.000 0.000 0.000
Pd 2.434 2.434 2.434
```

Computed properties:
The value obtained for the polymorph energy (0 for the lowest one) is 0.000 eV/f.u. For the size of the total moment, the calculation gives 0.00 μB per cell. The formation energy is 1.04 eV per atom. As for the space-group type: Pm-3m, No. 221. As for the total energy: -16.3 eV per formula unit.

***

The following is a PBE calculation of a relaxed MgZn2Cl crystal, from Alexandria.

```
4
Lattice="-2.748 2.446 -2.667 -4.096 1.931 0.373 -0.503 8.700 1.251" Properties=species:S:1:pos:R:3 pbc="T T T"
Cl -3.863 6.047 -0.689
Mg -1.374 2.610 -0.167
Zn -0.584 8.499 1.181
Zn -5.704 11.161 -0.639
```

Computed properties:
The value obtained for the polymorph energy (0 for the lowest one) is 0.149 eV/f.u. For the size of the total moment, the calculation gives 0.00 μB per cell. As for the space-group type: Cm, No. 8. As for the total energy: -7.4 eV per formula unit.

***

The following is a PBE calculation of a relaxed LiNi2RuPt crystal, from Alexandria.

```
5
Lattice="-2.993 3.165 1.433 -0.010 -1.759 3.865 3.475 2.721 1.247" Properties=species:S:1:pos:R:3 pbc="T T T"
Ru 0.236 2.063 3.273
Li -0.005 -0.880 1.933
Pt 0.000 0.000 0.000
Ni 1.737 1.360 0.624
Ni -1.497 1.583 0.717
```

Computed properties:
For the size of the total moment, the calculation gives 4.61 μB per cell. The formation energy is 1.18 eV per atom. As for the space-group type: P4/mmm, No. 123. As for the total energy: -22.9 eV per formula unit.

***

The following is a PBE calculation of a relaxed Re2TcAs crystal, from Alexandria.

```
4
Lattice="-0.224 4.244 1.129 -1.543 1.144 3.955 2.733 1.612 3.044" Properties=species:S:1:pos:R:3 pbc="T T T"
Re 0.000 0.000 0.000
Re 0.724 5.250 6.096
As 0.483 3.500 4.064
Tc 0.241 1.750 2.032
```

Computed properties:
For the size of the total moment, the calculation gives 0.00 μB per cell. The formation energy is 0.36 eV per atom. As for the space-group type: F-43m, No. 216. As for the total energy: -38.5 eV per formula unit.

***

The following is a PBE calculation of a relaxed RbMgAl2Br crystal, from Alexandria.

```
5
Lattice="5.182 0.000 0.000 0.000 8.433 0.000 0.000 0.000 5.182" Properties=species:S:1:pos:R:3 pbc="T T T"
Mg 0.000 0.000 0.000
Br 2.591 4.217 2.591
Rb 0.000 4.217 0.000
Al 0.000 0.000 2.591
Al 2.591 0.000 0.000
```

Computed properties:
For the size of the total moment, the calculation gives 0.00 μB per cell. As for the space-group type: P4/mmm, No. 123. As for the total energy: -10.7 eV per formula unit.